1.
Material: Ba2VO4F
Method: DFT, PBE+U
State: optimized geometry

Geometry as extended XYZ:
```
8
Lattice="4.949 -1.652 0.000 4.949 1.652 0.000 -4.263 0.000 8.508" Properties=species:S:1:pos:R:3 pbc="T T T"
Ba 0.428 0.000 2.081
Ba 5.208 0.000 6.426
V -2.132 0.000 4.254
O -1.746 0.000 6.012
O 1.589 0.000 4.550
O 4.047 0.000 3.957
O 7.382 0.000 2.495
F 4.949 0.000 0.000
```

## Properties
For the volume, the calculation gives 139 Å³/f.u. As for the total energy: -6.54 eV/atom. The calculation puts the size of the total moment at 0.00 μB per cell. The space-group type is No. 12.

2.
Material: CdIn4FeO8
Method: DFT, PBE+U
State: optimized geometry

Geometry as extended XYZ:
```
14
Lattice="3.283 1.895 5.216 -3.283 1.895 5.216 0.000 -3.790 5.216" Properties=species:S:1:pos:R:3 pbc="T T T"
Cd 0.000 0.000 0.000
In -1.662 -0.959 7.086
In 0.000 0.000 3.768
In 1.662 -0.959 7.086
In 0.000 1.919 7.086
Fe 0.000 0.000 9.733
O 0.000 0.000 5.910
O 0.000 -1.757 8.350
O -1.521 0.878 8.350
O -1.461 -0.843 11.054
O 1.521 0.878 8.350
O 1.461 -0.843 11.054
O 0.000 1.687 11.054
O 0.000 0.000 13.443
```

## Properties
For the volume, the calculation gives 195 Å³/f.u. As for the total energy: -5.54 eV/atom. The calculation puts the size of the total moment at 4.03 μB per cell. The space-group type is No. 160.